Below is Rb2Hg2Bi at its PBEsol-relaxed geometry, with properties calculated at the SCAN level.

Results
E   -516.19 eV for the cell shown
Size of the total moment   0.00 μB/cell

Cell: 5.500 8.043 8.043 Å, 90.00 90.00 90.00°
Fractional coordinates of all 10 atoms:
Bi 0.000 0.000 0.000
Bi 0.000 0.500 0.500
Rb 0.500 0.179 0.679
Rb 0.500 0.679 0.821
Rb 0.500 0.821 0.321
Rb 0.500 0.321 0.179
Hg 0.000 0.370 0.870
Hg 0.000 0.870 0.630
Hg 0.000 0.630 0.130
Hg 0.000 0.130 0.370